The following is a DFT calculation (PBEsol) of a geometry-optimized RhICl3 structure.

Its crystal system is cubic. The theoretical density comes out at 5.26 g/cm³. As for the magnetization: 0.00 μB per atom. For the formation energy (no corrections), the calculation gives -0.0444 eV per atom. As for the raw total energy: -3.230 eV/atom. As for the density of states at the Fermi level: 1.455 states/eV/atom.

Lattice parameters (Å, degrees): 4.7358 4.7358 4.7358 90.00 90.00 90.00
Space group Pm-3m (No. 221)
Asymmetric unit:
Rh (0.0000, 0.0000, 0.0000) (multiplicity 1)
I (0.5000, 0.5000, 0.5000) (multiplicity 1)
Cl (0.0000, 0.0000, 0.5000) (multiplicity 3)

=====

The following is a DFT calculation (PBEsol) of a geometry-optimized Rh2ICl structure.

Its crystal system is cubic. The theoretical density comes out at 9.19 g/cm³. As for the magnetization: 0.00 μB per atom. For the formation energy (no corrections), the calculation gives 0.4643 eV per atom. As for the raw total energy: -4.549 eV/atom. As for the density of states at the Fermi level: 0.347 states/eV/atom.

Lattice parameters (Å, degrees): 6.4316 6.4316 6.4316 90.00 90.00 90.00
Space group Fm-3m (No. 225)
Asymmetric unit:
Rh (0.2500, 0.2500, 0.2500) (multiplicity 8)
I (0.0000, 0.0000, 0.0000) (multiplicity 4)
Cl (0.0000, 0.0000, 0.5000) (multiplicity 4)

=====

The following is a DFT calculation (PBEsol) of a geometry-optimized RhS2ICl structure.

Its crystal system is tetragonal. The theoretical density comes out at 5.46 g/cm³. As for the magnetization: 0.00 μB per atom. For the formation energy (no corrections), the calculation gives 0.1689 eV per atom. As for the raw total energy: -3.967 eV/atom. As for the density of states at the Fermi level: 0.895 states/eV/atom.

Lattice parameters (Å, degrees): 4.6281 4.6281 4.6760 90.00 90.00 90.00
Space group P4/mmm (No. 123)
Asymmetric unit:
Rh (0.0000, 0.0000, 0.0000) (multiplicity 1)
S (0.0000, 0.5000, 0.0000) (multiplicity 2)
I (0.5000, 0.5000, 0.5000) (multiplicity 1)
Cl (0.0000, 0.0000, 0.5000) (multiplicity 1)

=====

The following is a DFT calculation (PBEsol) of a geometry-optimized SiRhI2Cl structure.

Its crystal system is tetragonal. The theoretical density comes out at 5.02 g/cm³. As for the magnetization: 0.22 μB per atom. For the formation energy (no corrections), the calculation gives 1.3873 eV per atom. As for the raw total energy: -2.498 eV/atom. As for the density of states at the Fermi level: 1.270 states/eV/atom.

Lattice parameters (Å, degrees): 5.4900 5.4900 4.6093 90.00 90.00 90.00
Space group P4/mmm (No. 123)
Asymmetric unit:
Si (0.0000, 0.0000, 0.0000) (multiplicity 1)
Rh (0.5000, 0.5000, 0.0000) (multiplicity 1)
I (0.0000, 0.5000, 0.5000) (multiplicity 2)
Cl (0.0000, 0.0000, 0.5000) (multiplicity 1)

=====

The following is a DFT calculation (PBEsol) of a geometry-optimized RuI3Cl structure.

Its crystal system is cubic. The theoretical density comes out at 5.05 g/cm³. As for the magnetization: 0.66 μB per atom. For the formation energy (no corrections), the calculation gives 1.3653 eV per atom. As for the raw total energy: -2.131 eV/atom. As for the density of states at the Fermi level: 1.502 states/eV/atom.

Lattice parameters (Å, degrees): 5.5398 5.5398 5.5398 90.00 90.00 90.00
Space group Pm-3m (No. 221)
Asymmetric unit:
Ru (0.0000, 0.0000, 0.0000) (multiplicity 1)
I (0.0000, 0.5000, 0.5000) (multiplicity 3)
Cl (0.5000, 0.5000, 0.5000) (multiplicity 1)

=====

The following is a DFT calculation (PBEsol) of a geometry-optimized Ru2ICl structure.

Its crystal system is cubic. The theoretical density comes out at 9.37 g/cm³. As for the magnetization: 0.00 μB per atom. For the formation energy (no corrections), the calculation gives 0.8911 eV per atom. As for the raw total energy: -5.139 eV/atom. As for the density of states at the Fermi level: 1.572 states/eV/atom.

Lattice parameters (Å, degrees): 6.3682 6.3682 6.3682 90.00 90.00 90.00
Space group Fm-3m (No. 225)
Asymmetric unit:
Ru (0.2500, 0.2500, 0.2500) (multiplicity 8)
I (0.0000, 0.0000, 0.0000) (multiplicity 4)
Cl (0.0000, 0.0000, 0.5000) (multiplicity 4)

=====

The following is a DFT calculation (PBEsol) of a geometry-optimized TcRu2ICl structure.

Its crystal system is tetragonal. The theoretical density comes out at 7.75 g/cm³. As for the magnetization: 0.00 μB per atom. For the formation energy (no corrections), the calculation gives 1.2143 eV per atom. As for the raw total energy: -5.863 eV/atom. As for the density of states at the Fermi level: 1.302 states/eV/atom.

Lattice parameters (Å, degrees): 4.7011 4.7011 4.4830 90.00 90.00 90.00
Space group P4/mmm (No. 123)
Asymmetric unit:
Tc (0.0000, 0.0000, 0.0000) (multiplicity 1)
Ru (0.0000, 0.5000, 0.0000) (multiplicity 2)
I (0.5000, 0.5000, 0.5000) (multiplicity 1)
Cl (0.0000, 0.0000, 0.5000) (multiplicity 1)

=====

The following is a DFT calculation (PBEsol) of a geometry-optimized SbS2ICl structure.

Its crystal system is tetragonal. The theoretical density comes out at 4.45 g/cm³. As for the magnetization: 0.16 μB per atom. For the formation energy (no corrections), the calculation gives 0.2603 eV per atom. As for the raw total energy: -3.160 eV/atom. As for the density of states at the Fermi level: 1.284 states/eV/atom.

Lattice parameters (Å, degrees): 5.0825 5.0825 5.0356 90.00 90.00 90.00
Space group P4/mmm (No. 123)
Asymmetric unit:
Sb (0.0000, 0.0000, 0.0000) (multiplicity 1)
S (0.0000, 0.5000, 0.0000) (multiplicity 2)
I (0.5000, 0.5000, 0.5000) (multiplicity 1)
Cl (0.0000, 0.0000, 0.5000) (multiplicity 1)

=====

The following is a DFT calculation (PBEsol) of a geometry-optimized ScSICl2 structure.

Its crystal system is tetragonal. The theoretical density comes out at 3.73 g/cm³. As for the magnetization: 0.00 μB per atom. For the formation energy (no corrections), the calculation gives -1.0345 eV per atom. As for the raw total energy: -4.389 eV/atom. As for the density of states at the Fermi level: 0.360 states/eV/atom.

Lattice parameters (Å, degrees): 4.7580 4.7580 5.4114 90.00 90.00 90.00
Space group P4/mmm (No. 123)
Asymmetric unit:
Sc (0.0000, 0.0000, 0.0000) (multiplicity 1)
S (0.0000, 0.0000, 0.5000) (multiplicity 1)
I (0.5000, 0.5000, 0.5000) (multiplicity 1)
Cl (0.0000, 0.5000, 0.0000) (multiplicity 2)

=====

The following is a DFT calculation (PBEsol) of a geometry-optimized ScSICl2 structure.

Its crystal system is tetragonal. The theoretical density comes out at 3.01 g/cm³. As for the magnetization: 0.26 μB per atom. For the formation energy (no corrections), the calculation gives 0.2895 eV per atom. As for the raw total energy: -3.065 eV/atom. As for the density of states at the Fermi level: 1.430 states/eV/atom.

Lattice parameters (Å, degrees): 5.3785 5.3785 5.2389 90.00 90.00 90.00
Space group P4/mmm (No. 123)
Asymmetric unit:
Sc (0.0000, 0.0000, 0.0000) (multiplicity 1)
S (0.5000, 0.5000, 0.0000) (multiplicity 1)
I (0.5000, 0.5000, 0.5000) (multiplicity 1)
Cl (0.0000, 0.5000, 0.5000) (multiplicity 2)

=====

The following is a DFT calculation (PBEsol) of a geometry-optimized SiS2ICl structure.

Its crystal system is tetragonal. The theoretical density comes out at 3.18 g/cm³. As for the magnetization: 0.04 μB per atom. For the formation energy (no corrections), the calculation gives 0.9381 eV per atom. As for the raw total energy: -2.720 eV/atom. As for the density of states at the Fermi level: 0.389 states/eV/atom.

Lattice parameters (Å, degrees): 5.1409 5.1409 5.0341 90.00 90.00 90.00
Space group P4/mmm (No. 123)
Asymmetric unit:
Si (0.0000, 0.0000, 0.0000) (multiplicity 1)
S (0.0000, 0.5000, 0.5000) (multiplicity 2)
I (0.5000, 0.5000, 0.5000) (multiplicity 1)
Cl (0.5000, 0.5000, 0.0000) (multiplicity 1)

=====

The following is a DFT calculation (PBEsol) of a geometry-optimized SrSICl2 structure.

Its crystal system is tetragonal. The theoretical density comes out at 2.95 g/cm³. As for the magnetization: 0.60 μB per atom. For the formation energy (no corrections), the calculation gives -0.5964 eV per atom. As for the raw total energy: -2.998 eV/atom. As for the density of states at the Fermi level: 1.046 states/eV/atom.

Lattice parameters (Å, degrees): 5.4787 5.4787 5.9509 90.00 90.00 90.00
Space group P4/mmm (No. 123)
Asymmetric unit:
Sr (0.0000, 0.0000, 0.0000) (multiplicity 1)
S (0.0000, 0.0000, 0.5000) (multiplicity 1)
I (0.5000, 0.5000, 0.5000) (multiplicity 1)
Cl (0.0000, 0.5000, 0.0000) (multiplicity 2)

=====

The following is a DFT calculation (PBEsol) of a geometry-optimized TaS2ICl structure.

Its crystal system is tetragonal. The theoretical density comes out at 5.20 g/cm³. As for the magnetization: 0.63 μB per atom. For the formation energy (no corrections), the calculation gives 1.4917 eV per atom. As for the raw total energy: -3.527 eV/atom. As for the density of states at the Fermi level: 1.303 states/eV/atom.

Lattice parameters (Å, degrees): 5.1147 5.1147 4.9737 90.00 90.00 90.00
Space group P4/mmm (No. 123)
Asymmetric unit:
Ta (0.0000, 0.0000, 0.0000) (multiplicity 1)
S (0.0000, 0.5000, 0.5000) (multiplicity 2)
I (0.5000, 0.5000, 0.5000) (multiplicity 1)
Cl (0.5000, 0.5000, 0.0000) (multiplicity 1)

=====

The following is a DFT calculation (PBEsol) of a geometry-optimized ZnSI2Cl structure.

Its crystal system is tetragonal. The theoretical density comes out at 4.55 g/cm³. As for the magnetization: 0.00 μB per atom. For the formation energy (no corrections), the calculation gives 0.2402 eV per atom. As for the raw total energy: -2.061 eV/atom. As for the density of states at the Fermi level: 0.734 states/eV/atom.

Lattice parameters (Å, degrees): 5.3952 5.3952 4.8488 90.00 90.00 90.00
Space group P4/mmm (No. 123)
Asymmetric unit:
Zn (0.0000, 0.0000, 0.0000) (multiplicity 1)
S (0.5000, 0.5000, 0.5000) (multiplicity 1)
I (0.0000, 0.5000, 0.5000) (multiplicity 2)
Cl (0.5000, 0.5000, 0.0000) (multiplicity 1)